No. 1
VASP calculation (PBE) on a geometry-optimized TiIrI2 structure.

Lattice parameters (Å, degrees): 4.8898 4.8898 4.8898 60.00 60.00 60.00
Last column: nearest neighbours and their distance in Å.
Sites, in units of the cell vectors:
I: 0.2500 0.2500 0.2500  4 Ir 2.99, 4 Ti 2.99
I: 0.7500 0.7500 0.7500  4 Ir 2.99, 4 Ti 2.99
Ir: 0.5000 0.5000 0.5000  8 I 2.99
Ti: 0.0000 0.0000 0.0000  8 I 2.99

Calculated values
- Electronic total energy: -4.319 eV per atom
- ρ: 9920 kg/m3
- E above lowest polymorph: 0.170 eV/atom

=====

No. 2
VASP calculation (PBE) on a geometry-optimized La2AsRu structure.

Lattice parameters (Å, degrees): 3.3474 3.3474 8.8809 90.00 90.00 90.01
Last column: nearest neighbours and their distance in Å.
Sites, in units of the cell vectors:
Ru: 0.0000 0.0000 0.5621  4 As 2.61
As: 0.5000 0.5000 0.6854  4 Ru 2.61
La: 0.0000 0.0000 0.9305  4 As 3.22, 1 Ru 3.27, 4 La 3.35
La: 0.5000 0.5000 0.3220  4 Ru 3.19, 1 As 3.23, 4 La 3.35

Calculated values
- ΔH_f (0 K): -255 meV/atom
- Electronic total energy: -6.200 eV per atom
- ρ: 7573 kg/m3

=====

No. 3
VASP calculation (PBE) on a geometry-optimized Na2CeZr2Se6 structure.

Lattice parameters (Å, degrees): 6.9076 6.9076 7.5110 98.63 98.63 120.57
Last column: nearest neighbours and their distance in Å.
Sites, in units of the cell vectors:
Na: 0.8382 0.1618 0.0000  6 Se 2.97-3.05
Na: 0.1618 0.8382 0.0000  6 Se 2.97-3.05
Ce: 0.0000 0.0000 0.5000  6 Se 2.91-2.92
Zr: 0.3331 0.6669 0.5000  6 Se 2.75-2.76
Zr: 0.6669 0.3331 0.5000  6 Se 2.75-2.76
Se: 0.7197 0.7197 0.7256  2 Zr 2.76, 1 Ce 2.92, 2 Na 3.05
Se: 0.0729 0.4251 0.7251  2 Zr 2.75, 1 Ce 2.91, 2 Na 2.97-3.05
Se: 0.2803 0.2803 0.2744  2 Zr 2.76, 1 Ce 2.92, 2 Na 3.05
Se: 0.4251 0.0729 0.7251  2 Zr 2.75, 1 Ce 2.91, 2 Na 2.97-3.05
Se: 0.9271 0.5749 0.2749  2 Zr 2.75, 1 Ce 2.91, 2 Na 2.97-3.05
Se: 0.5749 0.9271 0.2749  2 Zr 2.75, 1 Ce 2.91, 2 Na 2.97-3.05

Calculated values
- Electronic total energy: -5.655 eV per atom
- ρ: 4756 kg/m3

=====

No. 4
VASP calculation (PBE) on a geometry-optimized Pr3Tl4BiTe8 structure.

Lattice parameters (Å, degrees): 9.2021 9.7182 9.2025 118.27 120.00 90.00
Last column: nearest neighbours and their distance in Å.
Sites, in units of the cell vectors:
Pr: 0.5000 0.5000 0.0000  6 Te 3.21-3.22
Pr: 0.5000 0.5000 0.5000  6 Te 3.21-3.22
Pr: 0.0000 0.5000 0.5000  6 Te 3.21-3.22
Tl: 0.5000 0.0000 0.0000  6 Te 3.51
Tl: 0.5000 0.0000 0.5000  6 Te 3.49
Tl: 0.0000 0.0000 0.0000  6 Te 3.49
Tl: 0.0000 0.0000 0.5000  6 Te 3.49
Bi: 0.0000 0.5000 0.0000  6 Te 3.19
Te: 0.2392 0.7212 0.9820  1 Bi 3.19, 2 Pr 3.22, 3 Tl 3.49-3.51
Te: 0.2392 0.7212 0.4784  1 Bi 3.19, 2 Pr 3.22, 3 Tl 3.49-3.51
Te: 0.2591 0.2775 0.5183  3 Pr 3.21, 3 Tl 3.49
Te: 0.7429 0.7212 0.9820  1 Bi 3.19, 2 Pr 3.22, 3 Tl 3.49-3.51
Te: 0.2571 0.2788 0.0180  1 Bi 3.19, 2 Pr 3.22, 3 Tl 3.49-3.51
Te: 0.7409 0.7225 0.4817  3 Pr 3.21, 3 Tl 3.49
Te: 0.7608 0.2788 0.5216  1 Bi 3.19, 2 Pr 3.22, 3 Tl 3.49-3.51
Te: 0.7608 0.2788 0.0180  1 Bi 3.19, 2 Pr 3.22, 3 Tl 3.49-3.51

Calculated values
- Electronic total energy: -4.178 eV per atom
- ρ: 6874 kg/m3

=====

No. 5
VASP calculation (PBE) on a geometry-optimized KYBr4 structure.

Lattice parameters (Å, degrees): 4.2960 7.2062 8.3700 102.88 90.00 107.34
Last column: nearest neighbours and their distance in Å.
Sites, in units of the cell vectors:
K: 0.5000 0.0000 0.5000  6 Br 3.27-3.46
Y: 0.0000 0.9999 0.9999  6 Br 2.76-2.88
Br: 0.8834 0.7667 0.6828  1 Y 2.76
Br: 0.1166 0.2333 0.3172  1 Y 2.76
Br: 0.3828 0.7658 0.0868  2 Y 2.88
Br: 0.6171 0.2342 0.9131  2 Y 2.88

Calculated values
- Electronic total energy: -4.202 eV per atom
- ρ: 3091 kg/m3
- E above lowest polymorph: 0.000 eV/atom

=====

No. 6
VASP calculation (PBE) on a geometry-optimized Tl3Ag2I4Cl2 structure.

Lattice parameters (Å, degrees): 5.5995 5.5995 14.0897 101.46 101.46 90.00
Last column: nearest neighbours and their distance in Å.
Sites, in units of the cell vectors:
Tl: 0.0000 0.0000 0.0000  8 I 3.64
Tl: 0.1873 0.1873 0.3745  1 Cl 2.88
Tl: 0.8127 0.8127 0.6255  1 Cl 2.88
Ag: 0.3915 0.3915 0.7829  1 Cl 2.64, 4 I 2.87
Ag: 0.6085 0.6085 0.2171  1 Cl 2.64, 4 I 2.87
I: 0.4140 0.9140 0.8281  2 Ag 2.87
I: 0.9140 0.4140 0.8281  2 Ag 2.87
I: 0.0860 0.5860 0.1719  2 Ag 2.87
I: 0.5860 0.0860 0.1719  2 Ag 2.87
Cl: 0.2938 0.2938 0.5875  1 Ag 2.64, 1 Tl 2.88
Cl: 0.7062 0.7062 0.4125  1 Ag 2.64, 1 Tl 2.88

Calculated values
- Electronic total energy: -2.573 eV per atom
- ρ: 5512 kg/m3

=====

No. 7
VASP calculation (PBE) on a geometry-optimized CsKHgTe structure.

Lattice parameters (Å, degrees): 6.1944 6.1944 6.1944 60.00 60.00 60.00
Last column: nearest neighbours and their distance in Å.
Sites, in units of the cell vectors:
Cs: 0.0000 0.0000 0.0000  4 Te 3.79, 4 Hg 3.79
K: 0.5000 0.5000 0.5000  4 Hg 3.79, 4 Te 3.79
Te: 0.2500 0.2500 0.2500  4 K 3.79, 4 Cs 3.79
Hg: 0.7500 0.7500 0.7500  4 Cs 3.79, 4 K 3.79

Calculated values
- Electronic total energy: -2.102 eV per atom
- ρ: 4942 kg/m3

=====

No. 8
VASP calculation (PBE) on a geometry-optimized PmZn4Pd structure.

Lattice parameters (Å, degrees): 4.0175 7.0224 7.8802 90.00 90.00 90.00
Last column: nearest neighbours and their distance in Å.
Sites, in units of the cell vectors:
Pm: 0.0000 0.6198 0.7500  1 Pd 2.86, 6 Zn 3.08-3.13
Pm: 0.0000 0.3802 0.2500  1 Pd 2.86, 6 Zn 3.08-3.13
Zn: 0.0000 0.0000 0.5000  2 Pd 2.47
Zn: 0.0000 0.0000 0.0000  2 Pd 2.47
Zn: 0.5000 0.9523 0.7500  2 Pd 2.71, 8 Zn 2.83-2.96
Zn: 0.5000 0.0477 0.2500  2 Pd 2.71, 8 Zn 2.83-2.96
Zn: 0.5000 0.6952 0.0477  2 Pd 2.65, 5 Zn 2.84-2.96
Zn: 0.5000 0.3048 0.9523  2 Pd 2.65, 5 Zn 2.84-2.96
Zn: 0.5000 0.6952 0.4523  2 Pd 2.65, 5 Zn 2.84-2.96
Zn: 0.5000 0.3048 0.5477  2 Pd 2.65, 5 Zn 2.84-2.96
Pd: 0.0000 0.2122 0.7500  8 Zn 2.47-2.71
Pd: 0.0000 0.7878 0.2500  8 Zn 2.47-2.71

Calculated values
- ΔH_f (0 K): -392 meV/atom
- Electronic total energy: -2.899 eV per atom
- ρ: 7664 kg/m3
- E above lowest polymorph: 0.000 eV/atom